1.
DFT (PBE) results for TaBeAlOs after structural relaxation.

Calculated values
energy above the most stable polymorph in this dataset = 0.50 eV per formula unit
crystal system = cubic

Unit cell a=4.3056 b=4.3056 c=4.3056 alpha=60.00 beta=60.00 gamma=60.00
With the nearest neighbours (Å) after each atom.
Sites, in units of the cell vectors:
1 Ta 0.0000 0.0000 0.0000  4 Al 2.64, 4 Os 2.64
2 Be 0.5000 0.5000 0.5000  4 Os 2.64, 4 Al 2.64
3 Al 0.7500 0.7500 0.7500  4 Ta 2.64, 4 Be 2.64
4 Os 0.2500 0.2500 0.2500  4 Ta 2.64, 4 Be 2.64


2.
DFT (PBE) results for TaBeAlOs after structural relaxation.

Calculated values
energy above the most stable polymorph in this dataset = 1.32 eV per formula unit
crystal system = cubic

Unit cell a=4.2709 b=4.2709 c=4.2709 alpha=60.00 beta=60.00 gamma=60.00
With the nearest neighbours (Å) after each atom.
Sites, in units of the cell vectors:
1 Ta 0.0000 0.0000 0.0000  4 Be 2.62, 4 Al 2.62
2 Be 0.7500 0.7500 0.7500  4 Ta 2.62, 4 Os 2.62
3 Al 0.2500 0.2500 0.2500  4 Ta 2.62, 4 Os 2.62
4 Os 0.5000 0.5000 0.5000  4 Be 2.62, 4 Al 2.62


3.
DFT (PBE) results for PaBeAl3 after structural relaxation.

Calculated values
uncorrected energy = -23.55 eV for the cell shown
crystal system = cubic

Unit cell a=4.4651 b=4.4651 c=4.4651 alpha=90.00 beta=90.00 gamma=90.00
With the nearest neighbours (Å) after each atom.
Sites, in units of the cell vectors:
1 Pa 0.0000 0.0000 0.0000  12 Al 3.16
2 Be 0.5000 0.5000 0.5000  6 Al 2.23
3 Al 0.0000 0.5000 0.5000  2 Be 2.23
4 Al 0.5000 0.0000 0.5000  2 Be 2.23
5 Al 0.5000 0.5000 0.0000  2 Be 2.23


4.
DFT (PBE) results for PaBeAl after structural relaxation.

Calculated values
energy above the most stable polymorph in this dataset = 0.00 eV per formula unit
crystal system = cubic

Unit cell a=4.3388 b=4.3388 c=4.3388 alpha=60.00 beta=60.00 gamma=60.00
With the nearest neighbours (Å) after each atom.
Sites, in units of the cell vectors:
1 Pa 0.0000 0.0000 0.0000  4 Be 2.66
2 Be 0.7500 0.7500 0.7500  4 Pa 2.66, 4 Al 2.66
3 Al 0.5000 0.5000 0.5000  4 Be 2.66


Repeat the fourth record exactly.
DFT (PBE) results for PaBeAl after structural relaxation.

Calculated values
energy above the most stable polymorph in this dataset = 0.00 eV per formula unit
crystal system = cubic

Unit cell a=4.3388 b=4.3388 c=4.3388 alpha=60.00 beta=60.00 gamma=60.00
With the nearest neighbours (Å) after each atom.
Sites, in units of the cell vectors:
1 Pa 0.0000 0.0000 0.0000  4 Be 2.66
2 Be 0.7500 0.7500 0.7500  4 Pa 2.66, 4 Al 2.66
3 Al 0.5000 0.5000 0.5000  4 Be 2.66